Below is a geometry-optimized Mg2Au2I structure, with properties calculated at the PBE level.

For the energy above the lowest structure with this stoichiometry, the calculation gives 18.7 meV/atom. As for the magnetic moment: 0.000 μB/atom. The uncorrected formation energy comes out at -304 meV/atom.

The structure belongs to space group P4/mbm (No. 127); the cell edges are 7.9493, 7.9493 and 3.4782 Å and the angles 90.00°, 90.00° and 90.00°. The inequivalent atoms are Mg at (0.1610, 0.3390, 0.0000), Au at (0.1293, 0.6293, 0.5000) and I at (0.0000, 0.0000, 0.5000).

=====

Below is a geometry-optimized MgAuI3 structure, with properties calculated at the PBE level.

For the energy above the lowest structure with this stoichiometry, the calculation gives 560.0 meV/atom. As for the magnetic moment: 0.000 μB/atom. The uncorrected formation energy comes out at -6 meV/atom.

The structure belongs to space group Pm-3m (No. 221); the cell edges are 5.6882, 5.6882 and 5.6882 Å and the angles 90.00°, 90.00° and 90.00°. The inequivalent atoms are Mg at (0.0000, 0.0000, 0.0000), Au at (0.5000, 0.5000, 0.5000) and I at (0.0000, 0.0000, 0.5000).

=====

Below is a geometry-optimized MgAu2I structure, with properties calculated at the PBE level.

For the energy above the lowest structure with this stoichiometry, the calculation gives 0.0 meV/atom. As for the magnetic moment: 0.000 μB/atom. The uncorrected formation energy comes out at -12 meV/atom.

The structure belongs to space group I-42d (No. 122); the cell edges are 8.2490, 8.2490 and 5.6669 Å and the angles 90.00°, 90.00° and 90.00°. The inequivalent atoms are Mg at (0.0000, 0.0000, 0.0000), Au at (0.2296, 0.7500, 0.1250) and I at (0.0000, 0.0000, 0.5000).